## CsRb3Fe (PBE)

Data for a geometry-optimized CsRb3Fe structure.

Calculated values
DOS(E_F), states/eV/cell: 10.33
Formation energy from the elements, kJ per mole of atoms: 111.5
Raw total energy, eV/atom: -1.2877
Crystal system: cubic

Cell lengths 8.559, 8.559, 8.559 Å; angles 90.00, 90.00, 90.00 degrees
Sites, in units of the cell vectors:
Fe 0.500 0.500 0.500
Cs 0.000 0.000 0.000
Rb 0.500 0.000 0.000
Rb 0.000 0.500 0.000
Rb 0.000 0.000 0.500

=====

## BeAuBr2 (PBE)

Data for a geometry-optimized BeAuBr2 structure.

Calculated values
DOS(E_F), states/eV/cell: 2.17
Raw total energy, eV/atom: -2.1853
Crystal system: orthorhombic
E_form (uncorrected), eV per atom: 0.402

Cell lengths 3.767, 7.426, 3.776 Å; angles 90.00, 90.00, 90.00 degrees
Sites, in units of the cell vectors:
Br 0.500 0.500 0.000
Br 0.000 0.000 0.000
Au 0.500 0.000 0.500
Be 0.000 0.500 0.500

=====

## TbSmCo2 (PBE)

Data for a geometry-optimized TbSmCo2 structure.

Calculated values
DOS(E_F), states/eV/cell: 1.02
Formation energy from the elements, kJ per mole of atoms: -6.2
Raw total energy, eV/atom: -5.9549
Crystal system: cubic

Cell lengths 4.789, 4.789, 4.789 Å; angles 60.00, 60.00, 60.00 degrees
Sites, in units of the cell vectors:
Sm 0.500 0.500 0.500
Co 0.250 0.250 0.250
Co 0.750 0.750 0.750
Tb 0.000 0.000 0.000

=====

## Zr4TiPd2 (PBE)

Data for a geometry-optimized Zr4TiPd2 structure.

Calculated values
DOS(E_F), states/eV/cell: 8.09
Formation energy from the elements, kJ per mole of atoms: -9.5
Raw total energy, eV/atom: -7.5947
Crystal system: trigonal

Cell lengths 4.793, 4.793, 8.048 Å; angles 72.67, 72.67, 60.00 degrees
Sites, in units of the cell vectors:
Pd 0.384 0.384 0.848
Pd 0.616 0.616 0.152
Zr 0.870 0.870 0.390
Zr 0.130 0.130 0.610
Zr 0.265 0.265 0.205
Zr 0.735 0.735 0.795
Ti 0.500 0.500 0.500

=====

## MnTl2As2 (PBE)

Data for a geometry-optimized MnTl2As2 structure.

Calculated values
DOS(E_F), states/eV/cell: 4.95
Formation energy from the elements, kJ per mole of atoms: 5.4
Raw total energy, eV/atom: -4.5848
Crystal system: tetragonal

Cell lengths 6.408, 6.408, 5.876 Å; angles 90.00, 90.00, 90.00 degrees
Sites, in units of the cell vectors:
Tl 0.687 0.813 0.500
Tl 0.813 0.313 0.500
Tl 0.313 0.187 0.500
Tl 0.187 0.687 0.500
As 0.361 0.861 0.000
As 0.861 0.639 0.000
As 0.139 0.361 0.000
As 0.639 0.139 0.000
Mn 0.000 0.000 0.000
Mn 0.500 0.500 0.000

=====

## Al2GeRh2 (PBE)

Data for a geometry-optimized Al2GeRh2 structure.

Calculated values
DOS(E_F), states/eV/cell: 4.99
Formation energy from the elements, kJ per mole of atoms: -60.0
Raw total energy, eV/atom: -5.9831
Crystal system: tetragonal

Cell lengths 7.142, 7.142, 2.954 Å; angles 90.00, 90.00, 90.00 degrees
Sites, in units of the cell vectors:
Rh 0.153 0.347 0.000
Rh 0.347 0.847 0.000
Rh 0.653 0.153 0.000
Rh 0.847 0.653 0.000
Ge 0.500 0.500 0.000
Ge 0.000 0.000 0.000
Al 0.644 0.856 0.500
Al 0.144 0.644 0.500
Al 0.356 0.144 0.500
Al 0.856 0.356 0.500